No. 1
VASP calculation (PBE-GGA) on a geometry-optimized Ti2NbN3 structure.

Output
DOS(E_F) ... 3.039 states/eV/f.u.
M_tot ... 0.0 μB per formula unit
E_tot ... -59.509 eV for the cell shown
Calculated volume ... 10.106 Å³ per atom

Lattice parameters (Å, degrees): 3.0519 4.3313 5.2973 114.13 106.74 90.00
Element x y z (fractional)
Ti 0.3360 0.8360 0.6719
Ti 0.6640 0.1640 0.3281
N 0.0000 0.0000 0.0000
N 0.3234 0.3234 0.6468
N 0.6766 0.6766 0.3532
Nb 0.0000 0.5000 0.0000

---

No. 2
VASP calculation (PBE-GGA) on a geometry-optimized Ho12Th2Sc5 structure.

Output
DOS(E_F) ... 32.812 states/eV/f.u.
M_tot ... 0.0 μB per formula unit
Calculated volume ... 30.472 Å³ per atom
Energy of formation from the pure elements ... 179 meV/atom

Lattice parameters (Å, degrees): 10.8171 8.5120 8.2664 82.37 90.00 129.45
Element x y z (fractional)
Sc 0.3517 0.7035 0.1237
Sc 0.2351 0.4702 0.4774
Sc 0.6483 0.2965 0.8763
Sc 0.0000 0.0000 0.5000
Sc 0.7649 0.5298 0.5226
Ho 0.8567 0.7134 0.1300
Ho 0.6229 0.7741 0.3980
Ho 0.5758 0.1515 0.2878
Ho 0.3910 0.3654 0.1950
Ho 0.3771 0.2259 0.6020
Ho 0.9745 0.3654 0.1950
Ho 0.6090 0.6346 0.8050
Ho 0.8488 0.2259 0.6020
Ho 0.1433 0.2866 0.8700
Ho 0.4242 0.8485 0.7122
Ho 0.0255 0.6346 0.8050
Ho 0.1512 0.7741 0.3980
Th 0.2870 0.0000 0.0000
Th 0.7130 0.0000 0.0000

---

No. 3
VASP calculation (PBE-GGA) on a geometry-optimized KCd2Si structure.

Output
DOS(E_F) ... 1.811 states/eV/f.u.
M_tot ... 0.0 μB per formula unit
E_tot ... -7.296 eV for the cell shown
Calculated volume ... 27.000 Å³ per atom

Lattice parameters (Å, degrees): 3.5881 3.5881 8.3887 90.00 90.00 90.00
Element x y z (fractional)
Cd 0.0000 0.0000 0.5659
Cd 0.0000 0.0000 0.9341
Si 0.5000 0.5000 0.7500
K 0.5000 0.5000 0.2500

---

No. 4
VASP calculation (PBE-GGA) on a geometry-optimized HfAgSCl2 structure.

Output
DOS(E_F) ... 3.864 states/eV/f.u.
M_tot ... 0.0 μB per formula unit
E_tot ... -18.612 eV for the cell shown
Calculated volume ... 25.257 Å³ per atom

Lattice parameters (Å, degrees): 4.5813 6.0169 4.5813 90.00 90.00 90.00
Element x y z (fractional)
Ag 0.0000 0.0000 0.0000
Hf 0.0000 0.5000 0.0000
S 0.5000 0.5000 0.5000
Cl 0.5000 0.0000 0.0000
Cl 0.0000 0.0000 0.5000

---

No. 5
VASP calculation (PBE-GGA) on a geometry-optimized BeFeW2 structure.

Output
DOS(E_F) ... 2.874 states/eV/f.u.
M_tot ... 0.6 μB per formula unit
Calculated volume ... 13.381 Å³ per atom
Energy of formation from the pure elements ... 379 meV/atom

Lattice parameters (Å, degrees): 8.3345 8.3345 8.3345 18.98 18.98 18.98
Site moments in Bohr magnetons follow the coordinates.
Element x y z (fractional)
W 0.0081 0.0081 0.0081  -0.12
W 0.2414 0.2414 0.2414  0.00
Fe 0.7579 0.7579 0.7579  0.73
Be 0.4926 0.4926 0.4926  -0.01

---

No. 6
VASP calculation (PBE-GGA) on a geometry-optimized Cs2AlOsF6 structure.

Output
DOS(E_F) ... 2.926 states/eV/f.u.
M_tot ... 1.0 μB per formula unit
E_tot ... -50.282 eV for the cell shown
Calculated volume ... 18.400 Å³ per atom

Lattice parameters (Å, degrees): 5.6336 5.6336 7.0342 66.39 66.39 90.00
Site moments in Bohr magnetons follow the coordinates.
Element x y z (fractional)
F 0.2652 0.2652 0.0000  0.01
F 0.7348 0.7348 0.0000  0.01
F 0.7348 0.2652 0.0000  0.01
F 0.2652 0.7348 0.0000  0.01
F 0.6535 0.6535 0.6930  0.00
F 0.3465 0.3465 0.3070  0.00
Al 0.5000 0.5000 0.0000  0.00
Cs 0.2500 0.7500 0.5000  0.00
Cs 0.7500 0.2500 0.5000  0.00
Os 0.0000 0.0000 0.0000  0.84

---

No. 7
VASP calculation (PBE-GGA) on a geometry-optimized LiZr2Ga structure.

Output
DOS(E_F) ... 0.986 states/eV/f.u.
M_tot ... 0.0 μB per formula unit
Calculated volume ... 18.721 Å³ per atom
Energy of formation from the pure elements ... -147 meV/atom

Lattice parameters (Å, degrees): 3.3650 3.3650 6.6133 90.00 90.00 90.00
Element x y z (fractional)
Zr 0.0000 0.0000 0.7564
Zr 0.0000 0.0000 0.2436
Li 0.5000 0.5000 0.0000
Ga 0.5000 0.5000 0.5000